## 1
Computed, not measured: crystalline La4Pr6Ho at its relaxed geometry at the PBE level of DFT.

**Magnetization**: 0.000 μB per atom

a = 9.745 Å, b = 9.745 Å, c = 9.745 Å
α = 60.76°, β = 138.10°, γ = 138.10°
Positions (direct):
La 0.372 0.366 0.366
La 0.000 0.634 0.006
Pr 0.500 0.500 0.000
La 0.000 0.006 0.634
La 0.628 0.994 0.994
Ho 0.000 0.000 0.000
Pr 0.000 0.448 0.782
Pr 0.334 0.552 0.552
Pr 0.666 0.218 0.218
Pr 0.000 0.782 0.448
Pr 0.500 0.000 0.500

## 2
Computed, not measured: crystalline La4Pr6Ho at its relaxed geometry at the PBE level of DFT.

**Magnetization**: 0.000 μB per atom

a = 6.854 Å, b = 6.854 Å, c = 9.797 Å
α = 110.47°, β = 110.47°, γ = 90.00°
Positions (direct):
La 0.719 0.039 0.759
Pr 0.136 0.136 0.638
Pr 0.502 0.502 0.638
Pr 0.498 0.864 0.362
Pr 0.500 0.000 0.000
Pr 0.864 0.498 0.362
La 0.281 0.281 0.241
Pr 0.000 0.500 0.000
La 0.039 0.719 0.759
Ho 0.500 0.500 0.000
La 0.961 0.961 0.241

Relative energies, unit meV/atom: 1 18; 2 0

## 1
Computed, not measured: crystalline La3Pr2Ho8 at its relaxed geometry at the PBE level of DFT.

**Magnetization**: 0.000 μB per atom

a = 5.645 Å, b = 7.731 Å, c = 11.029 Å
α = 110.52°, β = 90.03°, γ = 90.00°
Positions (direct):
Pr 0.499 0.241 0.482
La 0.000 0.300 0.000
Ho 0.001 0.666 0.332
Pr 0.501 0.759 0.518
Ho 0.500 0.182 0.783
La 0.000 0.700 0.000
Ho 0.999 0.334 0.668
Ho 0.000 0.133 0.266
Ho 0.500 0.818 0.217
Ho 0.000 0.867 0.734
La 0.500 0.000 0.000
Ho 0.500 0.601 0.783
Ho 0.500 0.399 0.217

## 2
Computed, not measured: crystalline La3Pr2Ho8 at its relaxed geometry at the PBE level of DFT.

**Magnetization**: 0.000 μB per atom

a = 6.268 Å, b = 6.246 Å, c = 12.969 Å
α = 85.29°, β = 118.73°, γ = 80.34°
Positions (direct):
Ho 0.918 0.537 0.843
Ho 0.082 0.463 0.157
Pr 0.231 0.385 0.462
Ho 0.308 0.847 0.615
Pr 0.769 0.615 0.538
La 0.000 0.000 0.000
La 0.540 0.228 0.078
La 0.460 0.772 0.922
Ho 0.620 0.692 0.234
Ho 0.843 0.077 0.690
Ho 0.157 0.923 0.310
Ho 0.692 0.153 0.385
Ho 0.380 0.308 0.766

Relative energies, unit meV/atom: 1 229; 2 0

## 1
Computed, not measured: crystalline LaPr2Ho8 at its relaxed geometry at the PBE level of DFT.

**Magnetization**: 0.000 μB per atom

a = 5.561 Å, b = 10.193 Å, c = 10.193 Å
α = 40.48°, β = 92.61°, γ = 92.61°
Positions (direct):
Pr 0.249 0.715 0.715
Ho 0.733 0.399 0.864
Ho 0.267 0.601 0.136
Ho 0.765 0.814 0.814
Ho 0.235 0.186 0.186
Pr 0.751 0.285 0.285
Ho 0.733 0.864 0.399
Ho 0.761 0.454 0.454
Ho 0.239 0.546 0.546
Ho 0.267 0.136 0.601
La 0.000 0.000 0.000

## 2
Computed, not measured: crystalline LaPr2Ho8 at its relaxed geometry at the PBE level of DFT.

**Magnetization**: 0.000 μB per atom

a = 6.665 Å, b = 6.737 Å, c = 8.918 Å
α = 98.78°, β = 111.94°, γ = 90.00°
Positions (direct):
Ho 0.588 0.907 0.177
Pr 0.243 0.298 0.486
Ho 0.353 0.408 0.178
Ho 0.824 0.408 0.178
Ho 0.206 0.792 0.411
Ho 0.176 0.592 0.822
Ho 0.647 0.592 0.822
La 0.000 0.000 0.000
Ho 0.412 0.093 0.823
Ho 0.794 0.208 0.589
Pr 0.757 0.702 0.514

Relative energies, unit meV/atom: 1 0; 2 24

## 1
Computed, not measured: crystalline LaPr2Ho4 at its relaxed geometry at the PBE level of DFT.

**Magnetization**: 0.080 μB per atom

a = 8.157 Å, b = 7.838 Å, c = 7.838 Å
α = 90.03°, β = 90.17°, γ = 90.16°
Positions (direct):
Ho 0.280 0.752 0.750
Ho 0.720 0.249 0.749
Pr 0.500 0.000 0.500
Pr 0.000 0.500 0.500
La 0.000 0.500 0.000
Ho 0.720 0.751 0.251
Ho 0.280 0.249 0.749
La 0.500 0.500 0.000
Pr 0.000 0.000 0.000
Ho 0.280 0.751 0.251
Ho 0.720 0.248 0.250
Ho 0.280 0.251 0.252
Ho 0.720 0.749 0.748
Pr 0.000 0.000 0.500

## 2
Computed, not measured: crystalline LaPr2Ho4 at its relaxed geometry at the PBE level of DFT.

**Magnetization**: 0.000 μB per atom

a = 6.690 Å, b = 9.127 Å, c = 9.127 Å
α = 79.14°, β = 68.50°, γ = 68.50°
Positions (direct):
Ho 0.864 0.632 0.641
Ho 0.864 0.141 0.132
Ho 0.136 0.368 0.359
Ho 0.782 0.240 0.740
Pr 0.274 0.976 0.476
Ho 0.218 0.760 0.260
Ho 0.136 0.859 0.868
La 0.500 0.500 0.000
La 0.000 0.500 0.000
Pr 0.500 0.500 0.500
Pr 0.726 0.024 0.524
Ho 0.762 0.760 0.260
Pr 0.500 0.000 0.000
Ho 0.238 0.240 0.740

Relative energies, unit meV/atom: 1 67; 2 0

## 1
Computed, not measured: crystalline LaPr2Ho6 at its relaxed geometry at the PBE level of DFT.

**Magnetization**: 0.000 μB per atom

a = 3.555 Å, b = 9.817 Å, c = 9.817 Å
α = 120.00°, β = 90.00°, γ = 90.00°
Positions (direct):
Ho 0.230 0.021 0.352
Ho 0.770 0.669 0.021
Pr 0.736 0.333 0.667
Pr 0.264 0.667 0.333
La 0.500 0.000 0.000
Ho 0.230 0.648 0.669
Ho 0.770 0.979 0.648
Ho 0.230 0.331 0.979
Ho 0.770 0.352 0.331

## 2
Computed, not measured: crystalline LaPr2Ho6 at its relaxed geometry at the PBE level of DFT.

**Magnetization**: 0.000 μB per atom

a = 7.446 Å, b = 7.446 Å, c = 7.681 Å
α = 61.01°, β = 61.01°, γ = 60.00°
Positions (direct):
Ho 0.613 0.050 0.288
Ho 0.258 0.259 0.697
Pr 0.755 0.755 0.734
Ho 0.786 0.258 0.697
Ho 0.259 0.786 0.697
Ho 0.050 0.049 0.288
La 0.316 0.316 0.051
Pr 0.579 0.579 0.264
Ho 0.049 0.613 0.288

Relative energies, unit meV/atom: 1 0; 2 230

## 1
Computed, not measured: crystalline La2Pr7Ho3 at its relaxed geometry at the PBE level of DFT.

**Magnetization**: 0.000 μB per atom

a = 3.611 Å, b = 6.570 Å, c = 18.440 Å
α = 74.87°, β = 90.00°, γ = 90.00°
Positions (direct):
Pr 0.500 0.237 0.505
Ho 0.000 0.886 0.659
Ho 0.500 0.500 0.000
Ho 0.000 0.114 0.341
Pr 0.500 0.763 0.495
La 0.500 0.610 0.331
La 0.500 0.390 0.669
Pr 0.500 0.941 0.830
Pr 0.000 0.445 0.836
Pr 0.000 0.000 0.000
Pr 0.500 0.059 0.170
Pr 0.000 0.555 0.164

## 2
Computed, not measured: crystalline La2Pr7Ho3 at its relaxed geometry at the PBE level of DFT.

**Magnetization**: 0.000 μB per atom

a = 3.691 Å, b = 5.918 Å, c = 19.699 Å
α = 98.64°, β = 90.00°, γ = 90.00°
Positions (direct):
Pr 0.000 0.232 0.463
Pr 0.000 0.768 0.537
Ho 0.500 0.686 0.372
Ho 0.500 0.314 0.628
Pr 0.000 0.000 0.000
Pr 0.500 0.928 0.857
Ho 0.500 0.500 0.000
La 0.000 0.851 0.701
Pr 0.000 0.410 0.820
La 0.000 0.149 0.299
Pr 0.000 0.590 0.180
Pr 0.500 0.072 0.143

Relative energies, unit meV/atom: 1 0; 2 54

## 1
Computed, not measured: crystalline LaPrHoTh at its relaxed geometry at the PBE level of DFT.

**Magnetization**: 0.000 μB per atom

a = 5.785 Å, b = 5.785 Å, c = 5.785 Å
α = 60.00°, β = 60.00°, γ = 60.00°
Positions (direct):
Th 0.500 0.500 0.500
La 0.250 0.250 0.250
Pr 0.750 0.750 0.750
Ho 0.000 0.000 0.000

## 2
Computed, not measured: crystalline LaPrHoTh at its relaxed geometry at the PBE level of DFT.

**Magnetization**: 0.000 μB per atom

a = 3.625 Å, b = 3.625 Å, c = 10.405 Å
α = 90.00°, β = 90.00°, γ = 90.00°
Positions (direct):
Pr 0.500 0.500 0.806
Ho 0.500 0.500 0.335
La 0.000 0.000 0.078
Th 0.000 0.000 0.565

Relative energies, unit meV/atom: 1 179; 2 0

## 1
Computed, not measured: crystalline LaPrYHo at its relaxed geometry at the PBE level of DFT.

**Magnetization**: 0.000 μB per atom

a = 3.842 Å, b = 5.962 Å, c = 6.991 Å
α = 115.24°, β = 73.36°, γ = 90.00°
Positions (direct):
La 0.394 0.133 0.266
Y 0.906 0.648 0.295
Ho 0.190 0.885 0.769
Pr 0.695 0.399 0.798

## 2
Computed, not measured: crystalline LaPrYHo at its relaxed geometry at the PBE level of DFT.

**Magnetization**: 0.000 μB per atom

a = 5.795 Å, b = 5.795 Å, c = 5.795 Å
α = 60.00°, β = 60.00°, γ = 60.00°
Positions (direct):
Ho 0.250 0.250 0.250
La 0.000 0.000 0.000
Y 0.750 0.750 0.750
Pr 0.500 0.500 0.500

Relative energies, unit meV/atom: 1 10; 2 0

## 1
Computed, not measured: crystalline LaHoPt2 at its relaxed geometry at the PBE level of DFT.

**Magnetization**: 0.000 μB per atom

a = 5.060 Å, b = 5.060 Å, c = 5.060 Å
α = 60.00°, β = 60.00°, γ = 60.00°
Positions (direct):
La 0.500 0.500 0.500
Pt 0.250 0.250 0.250
Pt 0.750 0.750 0.750
Ho 0.000 0.000 0.000

## 2
Computed, not measured: crystalline LaHoPt2 at its relaxed geometry at the PBE level of DFT.

**Magnetization**: 0.000 μB per atom

a = 3.542 Å, b = 3.542 Å, c = 7.239 Å
α = 90.00°, β = 90.00°, γ = 90.00°
Positions (direct):
La 0.500 0.500 0.500
Ho 0.500 0.500 0.000
Pt 0.000 0.000 0.225
Pt 0.000 0.000 0.775

## 3
Computed, not measured: crystalline LaHoPt2 at its relaxed geometry at the PBE level of DFT.

**Magnetization**: 0.000 μB per atom

a = 3.858 Å, b = 4.552 Å, c = 5.733 Å
α = 90.00°, β = 109.64°, γ = 90.00°
Positions (direct):
Pt 0.173 0.500 0.887
La 0.445 0.500 0.428
Pt 0.995 0.000 0.528
Ho 0.718 0.000 0.975

Relative energies, unit meV/atom: 1 113; 2 78; 3 0

## 1
Computed, not measured: crystalline LaHoPt2 at its relaxed geometry at the PBE level of DFT.

**Magnetization**: 0.000 μB per atom

a = 4.095 Å, b = 4.095 Å, c = 7.441 Å
α = 74.03°, β = 74.03°, γ = 60.00°
Positions (direct):
Ho 0.669 0.669 0.992
Pt 0.255 0.255 0.236
La 0.497 0.497 0.509
Pt 0.079 0.079 0.763

## 2
Computed, not measured: crystalline LaHoPt2 at its relaxed geometry at the PBE level of DFT.

**Magnetization**: 0.000 μB per atom

a = 4.159 Å, b = 4.159 Å, c = 7.163 Å
α = 73.12°, β = 73.12°, γ = 60.00°
Positions (direct):
La 0.000 0.000 0.000
Pt 0.245 0.245 0.266
Ho 0.500 0.500 0.500
Pt 0.755 0.755 0.734

Relative energies, unit meV/atom: 1 86; 2 0

## 1
Computed, not measured: crystalline LaHo2Pu at its relaxed geometry at the PBE level of DFT.

**Magnetization**: 1.565 μB per atom

a = 5.661 Å, b = 5.661 Å, c = 5.661 Å
α = 60.00°, β = 60.00°, γ = 60.00°
Positions (direct):
La 0.500 0.500 0.500
Ho 0.250 0.250 0.250
Pu 0.000 0.000 0.000
Ho 0.750 0.750 0.750

## 2
Computed, not measured: crystalline LaHo2Pu at its relaxed geometry at the PBE level of DFT.

**Magnetization**: 1.598 μB per atom

a = 3.542 Å, b = 3.542 Å, c = 10.052 Å
α = 90.00°, β = 90.00°, γ = 90.00°
Positions (direct):
Ho 0.000 0.000 0.735
La 0.500 0.500 0.000
Ho 0.000 0.000 0.265
Pu 0.500 0.500 0.500

Relative energies, unit meV/atom: 1 109; 2 0

## 1
Computed, not measured: crystalline LaHo2Pu at its relaxed geometry at the PBE level of DFT.

**Magnetization**: 1.635 μB per atom

a = 3.747 Å, b = 5.825 Å, c = 5.825 Å
α = 90.00°, β = 90.00°, γ = 90.00°
Positions (direct):
Pu 0.500 0.000 0.000
Ho 0.000 0.500 0.000
Ho 0.000 0.000 0.500
La 0.500 0.500 0.500

## 2
Computed, not measured: crystalline LaHo2Pu at its relaxed geometry at the PBE level of DFT.

**Magnetization**: 1.525 μB per atom

a = 3.546 Å, b = 3.546 Å, c = 11.758 Å
α = 81.33°, β = 81.33°, γ = 60.00°
Positions (direct):
Ho 0.254 0.254 0.239
La 0.501 0.501 0.498
Pu 0.666 0.666 0.002
Ho 0.080 0.080 0.761

Relative energies, unit meV/atom: 1 85; 2 0